! ScNiBi, relaxed, DFT PBE; values from VASP
&SYSTEM
  ibrav = 0, nat = 12, ntyp = 3
/
ATOMIC_SPECIES
Ni 58.69 Ni.upf
Sc 44.96 Sc.upf
Bi 208.98 Bi.upf
ATOMIC_POSITIONS crystal
Ni 0.618 0.250 0.067
Sc 0.505 0.250 0.729
Bi 0.755 0.750 0.904
Bi 0.245 0.250 0.096
Bi 0.745 0.250 0.404
Bi 0.255 0.750 0.596
Sc 0.995 0.750 0.229
Ni 0.882 0.750 0.567
Ni 0.118 0.250 0.433
Sc 0.005 0.250 0.771
Sc 0.495 0.750 0.271
Ni 0.382 0.750 0.933
CELL_PARAMETERS angstrom
7.204 0.000 0.000
0.000 4.327 0.000
0.000 0.000 7.627
! Calculated volume (Å³ per cell): 237.8
! Total energy (eV/cell): -69.418